[1]
The following is a DFT calculation (PBE) of an optimized crystal structure of Pr3Ho3Te2Pt.

Summary:
Symmetry: P-62m
Total moment (μB/atom): 0.0009
E_tot (eV per atom): -5.452

abc: 8.517 8.517 4.078
angles: 90.00 90.00 120.00
Atoms (fractional coordinates):
Pr: 0.405 0.000 0.000
Pr: 0.000 0.405 0.000
Pr: 0.595 0.595 0.000
Pt: 0.000 0.000 0.000
Ho: 0.238 0.238 0.500
Ho: 0.762 0.000 0.500
Ho: 0.000 0.762 0.500
Te: 0.667 0.333 0.500
Te: 0.333 0.667 0.500

[2]
The following is a DFT calculation (PBE) of an optimized crystal structure of Pr3Ho3Te2Pt.

Summary:
Symmetry: P-62m
Total moment (μB/atom): 0.0014
E_tot (eV per atom): -5.303

abc: 8.672 8.672 3.952
angles: 90.00 90.00 120.00
Atoms (fractional coordinates):
Pt: 0.000 0.000 0.000
Pr: 0.251 0.251 0.500
Pr: 0.749 0.000 0.500
Pr: 0.000 0.749 0.500
Ho: 0.594 0.594 0.000
Ho: 0.406 0.000 0.000
Ho: 0.000 0.406 0.000
Te: 0.667 0.333 0.500
Te: 0.333 0.667 0.500